DFT (PBE) results for a relaxed structure of Ac4Pr5Nd.

The structure in POSCAR format:
```
Ac4Pr5Nd
1.0
-3.514 1.089 0.906
-2.631 1.309 -11.779
1.675 -10.354 11.027
Pr Ac Nd
5 4 1
Direct
0.172 0.802 0.343
0.829 0.617 0.658
0.500 0.500 0.000
0.828 0.198 0.657
0.171 0.383 0.342
0.665 0.079 0.329
0.968 0.687 0.936
0.032 0.313 0.064
0.335 0.921 0.671
0.500 0.000 0.000
```

## Properties
For the formation energy, the calculation gives 0.172 eV per atom. The value obtained for the calculated total energy is -4.338 eV/atom. For the volume, the calculation gives 41.063 A^3/atom. As for the space group: C2/m, No. 12.

DFT (PBE) results for a relaxed structure of AcPrNd5.

The structure in POSCAR format:
```
AcPrNd5
1.0
-5.328 1.672 2.514
-6.453 -2.724 -4.406
-3.849 -6.402 3.560
Nd Ac Pr
5 1 1
Direct
0.500 0.829 0.171
0.241 0.759 0.759
0.759 0.241 0.241
0.000 0.500 0.500
0.500 0.171 0.829
0.500 0.500 0.500
0.000 0.000 0.000
```

## Properties
For the formation energy, the calculation gives 1.115 eV per atom. The value obtained for the calculated total energy is -3.560 eV/atom. For the volume, the calculation gives 49.466 A^3/atom. As for the space group: Immm, No. 71.

DFT (PBE) results for a relaxed structure of Ac5Pr2Nd12.

The structure in POSCAR format:
```
Ac5Pr2Nd12
1.0
-3.084 3.338 5.883
1.183 -7.538 4.898
10.814 5.214 -1.986
Ac Pr Nd
5 2 12
Direct
0.000 0.500 0.000
0.754 0.513 0.508
0.246 0.487 0.492
0.653 0.088 0.306
0.347 0.912 0.694
0.745 0.000 0.000
0.255 0.000 0.000
0.451 0.789 0.397
0.856 0.939 0.711
0.368 0.378 0.212
0.547 0.690 0.094
0.055 0.211 0.603
0.549 0.211 0.603
0.945 0.789 0.397
0.844 0.378 0.212
0.144 0.061 0.289
0.156 0.622 0.788
0.632 0.622 0.788
0.453 0.310 0.906
```

## Properties
For the formation energy, the calculation gives 0.137 eV per atom. The value obtained for the calculated total energy is -4.459 eV/atom. For the volume, the calculation gives 38.584 A^3/atom. As for the space group: C2/m, No. 12.

DFT (PBE) results for a relaxed structure of Ac9PrNd2.

The structure in POSCAR format:
```
Ac9PrNd2
1.0
-2.158 1.019 4.998
-2.327 -5.026 0.020
13.600 -6.270 7.151
Ac Nd Pr
9 2 1
Direct
0.500 0.500 0.666
0.000 0.500 0.500
0.000 0.500 0.167
0.500 0.000 0.833
0.500 0.000 0.167
0.000 0.500 0.833
0.500 0.000 0.500
0.500 0.500 0.334
0.500 0.500 0.000
0.000 0.000 0.334
0.000 0.000 0.666
0.000 0.000 0.000
```

## Properties
For the formation energy, the calculation gives 0.019 eV per atom. The value obtained for the calculated total energy is -4.255 eV/atom. For the volume, the calculation gives 42.419 A^3/atom. As for the space group: P4/mmm, No. 123.